# 1
11
Lattice="-1.8570 5.5674 8.3271 1.8570 -5.5674 8.3271 1.8570 5.5674 -8.3271" Properties=species:S:1:pos:R:3 comment="PBE-GGA Y7Tm2Mg2, relaxed" relative_energy_ev_per_atom=0.000 crystal_system=orthorhombic pbc="T T T"
Y 0.0000 0.0000 0.0000
Y 1.8570 -3.0040 5.6052
Y 0.0000 0.0000 5.3669
Y 0.0000 2.5634 2.7219
Y 1.8570 3.0040 5.6052
Y 0.0000 0.0000 11.2872
Y 0.0000 8.5714 2.7219
Tm 1.8570 3.3953 0.0000
Tm 0.0000 2.1720 8.3271
Mg 1.8570 0.0000 2.7162
Mg 0.0000 5.5674 5.6109

# 2
10
Lattice="-2.5512 2.5512 12.3824 2.5512 -2.5512 12.3824 2.5512 2.5512 -12.3824" Properties=species:S:1:pos:R:3 comment="PBE-GGA Y2Tm2Mg, relaxed" relative_energy_ev_per_atom=0.224 crystal_system=tetragonal pbc="T T T"
Y 2.5512 1.2756 -5.0241
Y 0.0000 1.2756 1.1671
Y 2.5512 1.2756 11.2153
Y 0.0000 1.2756 17.4066
Tm 2.5512 1.2756 -1.2199
Tm 0.0000 1.2756 4.9713
Tm 2.5512 1.2756 7.4111
Tm 0.0000 1.2756 13.6023
Mg 2.5512 -1.2756 9.2868
Mg 0.0000 3.8268 3.0956

# 3
9
Lattice="5.6288 -1.7324 0.0000 5.6288 1.7324 0.0000 -2.3571 0.0000 14.9103" Properties=species:S:1:pos:R:3 comment="PBE-GGA Y6Tm2Mg, relaxed" relative_energy_ev_per_atom=0.145 crystal_system=monoclinic pbc="T T T"
Y -0.0006 0.0000 3.3969
Y 3.1297 0.0000 1.5001
Y 2.8879 0.0000 8.3688
Y 6.0125 0.0000 6.5415
Y 5.7707 0.0000 13.4102
Y 8.9011 0.0000 11.5134
Tm 3.0226 0.0000 4.9211
Tm 5.8778 0.0000 9.9893
Mg 0.0000 0.0000 0.0000

# 4
16
Lattice="9.7578 0.0000 0.0000 0.0000 9.7753 0.0000 0.0000 0.0000 4.9705" Properties=species:S:1:pos:R:3 comment="PBE-GGA YTm6Mg, relaxed" relative_energy_ev_per_atom=0.000 crystal_system=orthorhombic pbc="T T T"
Y 0.0000 0.0000 0.0000
Y 4.8789 4.8877 0.0000
Tm 0.0000 2.4188 2.4853
Tm 0.0000 7.3566 2.4853
Tm 2.4194 0.0000 2.4853
Tm 2.4394 2.4438 0.0000
Tm 2.4394 7.3315 0.0000
Tm 2.4594 4.8877 2.4853
Tm 4.8789 2.4689 2.4853
Tm 4.8789 7.3064 2.4853
Tm 7.2983 4.8877 2.4853
Tm 7.3183 2.4438 0.0000
Tm 7.3183 7.3315 0.0000
Tm 7.3383 0.0000 2.4853
Mg 0.0000 4.8877 0.0000
Mg 4.8789 0.0000 0.0000

# 5
16
Lattice="3.7285 0.0000 0.0000 0.0000 5.4158 0.0000 0.0000 0.0000 22.3532" Properties=species:S:1:pos:R:3 comment="PBE-GGA Y3Tm2Mg3, relaxed" crystal_system=orthorhombic pbc="T T T"
Y 0.0000 0.0000 0.0000
Y 0.0000 2.7079 2.8217
Y 0.0000 2.7079 19.5315
Y 1.8642 0.0000 8.3549
Y 1.8642 0.0000 13.9983
Y 1.8642 2.7079 11.1766
Tm 0.0000 0.0000 5.2570
Tm 0.0000 0.0000 17.0962
Tm 1.8642 2.7079 5.9196
Tm 1.8642 2.7079 16.4336
Mg 0.0000 0.0000 11.1766
Mg 0.0000 2.7079 8.5513
Mg 0.0000 2.7079 13.8019
Mg 1.8642 0.0000 2.6253
Mg 1.8642 0.0000 19.7279
Mg 1.8642 2.7079 0.0000

# 6
22
Lattice="1.6630 -11.2326 0.0000 1.6630 11.2326 0.0000 0.0000 0.0000 16.2168" Properties=species:S:1:pos:R:3 comment="PBE-GGA Y3TmMg7, relaxed" crystal_system=orthorhombic pbc="T T T"
Y 1.6630 8.5917 8.7002
Y 1.6630 8.5917 15.6251
Y 1.6630 5.8265 4.0542
Y 1.6630 -5.8265 12.1626
Y 1.6630 -8.5917 0.5918
Y 1.6630 -8.5917 7.5167
Tm 1.6630 10.8894 4.0542
Tm 1.6630 -10.8894 12.1626
Mg 1.6630 5.3366 9.3152
Mg 1.6630 5.3366 15.0100
Mg 1.6630 2.8185 10.6713
Mg 1.6630 2.8185 13.6540
Mg 1.6630 2.5261 4.0542
Mg 1.6630 0.1720 9.4781
Mg 1.6630 0.1720 14.8472
Mg 1.6630 -0.1720 1.3697
Mg 1.6630 -0.1720 6.7388
Mg 1.6630 -2.5261 12.1626
Mg 1.6630 -2.8185 2.5629
Mg 1.6630 -2.8185 5.5455
Mg 1.6630 -5.3366 1.2068
Mg 1.6630 -5.3366 6.9016

# 7
8
Lattice="7.7293 0.0000 0.0000 -3.8647 6.6938 0.0000 0.0000 0.0000 3.7177" Properties=species:S:1:pos:R:3 comment="PBE-GGA Tm3Mg3Zn2, relaxed" crystal_system=hexagonal pbc="T T T"
Tm -2.2643 3.9218 0.0000
Tm 1.6004 2.7720 0.0000
Tm 4.5285 0.0000 0.0000
Mg -0.9012 1.5610 1.8588
Mg 1.8025 0.0000 1.8588
Mg 2.9634 5.1328 1.8588
Zn 0.0000 4.4625 1.8588
Zn 3.8647 2.2313 1.8588

# 8
7
Lattice="2.5104 1.4494 7.9142 -2.5104 1.4494 7.9142 0.0000 -2.8988 7.9142" Properties=species:S:1:pos:R:3 comment="PBE-GGA Tm4MgZn2, relaxed" relative_energy_ev_per_atom=0.000 crystal_system=trigonal pbc="T T T"
Tm 0.0000 0.0000 2.6319
Tm 0.0000 0.0000 8.6965
Tm 0.0000 0.0000 15.0461
Tm 0.0000 0.0000 21.1107
Mg 0.0000 0.0000 11.8713
Zn 0.0000 0.0000 5.7115
Zn 0.0000 0.0000 18.0311

So what do the calculations give for calculated volume? Going down the list: 31.3; 32.2; 32.3; 29.6; 28.2; 27.5; 24.0; 24.7 Å³ per atom.
So what do the calculations give for DOS at the Fermi energy? Going down the list: 1.31; 1.72; 1.77; 1.68; 1.28; 0.95; 1.10; 1.11 states/eV per atom.
So what do the calculations give for energy of formation from the pure elements? Going down the list: 63; 207; 174; 44; -76; 78; -151; -112 meV/atom.